# 1
DFT (PBE with a Hubbard U) results for BaVAsO6 after structural relaxation.

CIF file:
```
data_BaVAsO6
_cell_length_a 5.073
_cell_length_b 5.073
_cell_length_c 5.798
_cell_angle_alpha 90.00
_cell_angle_beta 90.00
_cell_angle_gamma 60.00
_symmetry_space_group_name_H-M 'P 1'
_symmetry_Int_Tables_number 1
loop_
_symmetry_equiv_pos_as_xyz
'x,y,z'
loop_
_atom_site_label
_atom_site_fract_x
_atom_site_fract_y
_atom_site_fract_z
O1 0.005 0.601 0.685
O2 0.601 0.394 0.685
O3 0.601 0.005 0.315
O4 0.394 0.005 0.685
As1 0.333 0.333 0.500
V1 0.667 0.667 0.500
Ba1 0.000 0.000 0.000
O5 0.394 0.601 0.315
O6 0.005 0.394 0.315
```

Values from the calculation:
Excess energy over the best structure of this formula in the dataset in eV per atom: 0.040


# 2
DFT (PBE with a Hubbard U) results for BaV2AsO8 after structural relaxation.

CIF file:
```
data_BaV2AsO8
_cell_length_a 5.338
_cell_length_b 5.338
_cell_length_c 7.417
_cell_angle_alpha 90.00
_cell_angle_beta 90.00
_cell_angle_gamma 120.00
_symmetry_space_group_name_H-M 'P 1'
_symmetry_Int_Tables_number 1
loop_
_symmetry_equiv_pos_as_xyz
'x,y,z'
loop_
_atom_site_label
_atom_site_fract_x
_atom_site_fract_y
_atom_site_fract_z
O1 0.939 0.687 0.342
O2 0.252 0.939 0.658
O3 0.333 0.667 0.949
Ba1 0.000 0.000 0.000
V1 0.333 0.667 0.722
O4 0.061 0.313 0.658
O5 0.313 0.252 0.342
O6 0.667 0.333 0.051
O7 0.687 0.748 0.658
As1 0.000 0.000 0.500
O8 0.748 0.061 0.342
V2 0.667 0.333 0.278
```

Values from the calculation:
E_tot in eV/atom: -6.976


# 3
DFT (PBE with a Hubbard U) results for BaV2AsO after structural relaxation.

CIF file:
```
data_BaV2AsO
_cell_length_a 4.683
_cell_length_b 6.803
_cell_length_c 4.683
_cell_angle_alpha 90.00
_cell_angle_beta 90.00
_cell_angle_gamma 90.00
_symmetry_space_group_name_H-M 'P 1'
_symmetry_Int_Tables_number 1
loop_
_symmetry_equiv_pos_as_xyz
'x,y,z'
loop_
_atom_site_label
_atom_site_fract_x
_atom_site_fract_y
_atom_site_fract_z
V1 0.000 0.000 0.500
Ba1 0.000 0.500 0.000
O1 0.500 0.500 0.500
As1 0.000 0.000 0.000
V2 0.500 0.000 0.000
```

Values from the calculation:
E_tot in eV/atom: -4.879


# 4
DFT (PBE with a Hubbard U) results for BaVAsO2 after structural relaxation.

CIF file:
```
data_BaVAsO2
_cell_length_a 4.304
_cell_length_b 9.448
_cell_length_c 4.304
_cell_angle_alpha 90.00
_cell_angle_beta 90.00
_cell_angle_gamma 90.00
_symmetry_space_group_name_H-M 'P 1'
_symmetry_Int_Tables_number 1
loop_
_symmetry_equiv_pos_as_xyz
'x,y,z'
loop_
_atom_site_label
_atom_site_fract_x
_atom_site_fract_y
_atom_site_fract_z
O1 0.500 0.000 0.000
O2 0.000 0.000 0.500
V1 0.000 0.500 0.000
Ba1 0.000 0.000 0.000
As1 0.500 0.500 0.500
```

Values from the calculation:
E_tot in eV/atom: -4.369


# 5
DFT (PBE with a Hubbard U) results for BaVAsO6 after structural relaxation.

CIF file:
```
data_BaVAsO6
_cell_length_a 10.347
_cell_length_b 5.896
_cell_length_c 9.030
_cell_angle_alpha 89.61
_cell_angle_beta 90.00
_cell_angle_gamma 90.00
_symmetry_space_group_name_H-M 'P 1'
_symmetry_Int_Tables_number 1
loop_
_symmetry_equiv_pos_as_xyz
'x,y,z'
loop_
_atom_site_label
_atom_site_fract_x
_atom_site_fract_y
_atom_site_fract_z
As1 0.114 0.154 0.218
O1 0.139 0.389 0.662
O2 0.566 0.181 0.025
O3 0.827 0.777 0.607
O4 0.361 0.389 0.162
As2 0.386 0.154 0.718
O5 0.673 0.777 0.107
O6 0.773 0.024 0.860
O7 0.434 0.819 0.975
As3 0.886 0.846 0.782
O8 0.923 0.612 0.882
O9 0.327 0.223 0.893
O10 0.035 0.985 0.767
O11 0.861 0.611 0.338
O12 0.965 0.015 0.233
Ba1 0.306 0.638 0.414
O13 0.639 0.611 0.838
O14 0.577 0.612 0.382
O15 0.273 0.976 0.640
As4 0.614 0.846 0.282
O16 0.227 0.976 0.140
V1 0.591 0.854 0.914
Ba2 0.194 0.638 0.914
V2 0.909 0.854 0.414
Ba3 0.694 0.362 0.586
O17 0.934 0.181 0.525
O18 0.535 0.015 0.733
O19 0.066 0.819 0.475
O20 0.727 0.024 0.360
V3 0.091 0.146 0.586
O21 0.465 0.985 0.267
Ba4 0.806 0.362 0.086
O22 0.077 0.388 0.118
O23 0.173 0.223 0.393
O24 0.423 0.388 0.618
V4 0.409 0.146 0.086
```

Values from the calculation:
Excess energy over the best structure of this formula in the dataset in eV per atom: 0.000


# 6
DFT (PBE with a Hubbard U) results for BaAs2WO8 after structural relaxation.

CIF file:
```
data_BaAs2WO8
_cell_length_a 5.092
_cell_length_b 5.092
_cell_length_c 8.544
_cell_angle_alpha 72.66
_cell_angle_beta 72.66
_cell_angle_gamma 60.00
_symmetry_space_group_name_H-M 'P 1'
_symmetry_Int_Tables_number 1
loop_
_symmetry_equiv_pos_as_xyz
'x,y,z'
loop_
_atom_site_label
_atom_site_fract_x
_atom_site_fract_y
_atom_site_fract_z
O1 0.811 0.811 0.567
Ba1 0.500 0.500 0.500
As1 0.741 0.741 0.778
O2 0.386 0.737 0.843
O3 0.263 0.966 0.157
O4 0.034 0.386 0.843
W1 0.000 0.000 0.000
O5 0.737 0.034 0.843
O6 0.189 0.189 0.433
As2 0.259 0.259 0.222
O7 0.614 0.263 0.157
O8 0.966 0.614 0.157
```

Values from the calculation:
E_tot in eV/atom: -6.635


Copy entry 5 word for word.
DFT (PBE with a Hubbard U) results for BaVAsO6 after structural relaxation.

CIF file:
```
data_BaVAsO6
_cell_length_a 10.347
_cell_length_b 5.896
_cell_length_c 9.030
_cell_angle_alpha 89.61
_cell_angle_beta 90.00
_cell_angle_gamma 90.00
_symmetry_space_group_name_H-M 'P 1'
_symmetry_Int_Tables_number 1
loop_
_symmetry_equiv_pos_as_xyz
'x,y,z'
loop_
_atom_site_label
_atom_site_fract_x
_atom_site_fract_y
_atom_site_fract_z
As1 0.114 0.154 0.218
O1 0.139 0.389 0.662
O2 0.566 0.181 0.025
O3 0.827 0.777 0.607
O4 0.361 0.389 0.162
As2 0.386 0.154 0.718
O5 0.673 0.777 0.107
O6 0.773 0.024 0.860
O7 0.434 0.819 0.975
As3 0.886 0.846 0.782
O8 0.923 0.612 0.882
O9 0.327 0.223 0.893
O10 0.035 0.985 0.767
O11 0.861 0.611 0.338
O12 0.965 0.015 0.233
Ba1 0.306 0.638 0.414
O13 0.639 0.611 0.838
O14 0.577 0.612 0.382
O15 0.273 0.976 0.640
As4 0.614 0.846 0.282
O16 0.227 0.976 0.140
V1 0.591 0.854 0.914
Ba2 0.194 0.638 0.914
V2 0.909 0.854 0.414
Ba3 0.694 0.362 0.586
O17 0.934 0.181 0.525
O18 0.535 0.015 0.733
O19 0.066 0.819 0.475
O20 0.727 0.024 0.360
V3 0.091 0.146 0.586
O21 0.465 0.985 0.267
Ba4 0.806 0.362 0.086
O22 0.077 0.388 0.118
O23 0.173 0.223 0.393
O24 0.423 0.388 0.618
V4 0.409 0.146 0.086
```

Values from the calculation:
Excess energy over the best structure of this formula in the dataset in eV per atom: 0.000


Q: What is the formula in the first record?
A: BaVAsO6